Zr4InCuN2: relaxed, PBE-GGA.

E, eV per atom: -8.096
V, Å³/cell: 133
Density, g/cm³: 7.126

Lattice parameters (Å, degrees): 3.2930 3.2930 14.1754 90.00 90.00 120.00
Space group P-6m2 (No. 187)
Inequivalent atoms, fractional coordinates:
Zr: 0.0000 0.0000 0.1471 x2
Zr: 0.6667 0.3333 0.3250 x2
In: 0.0000 0.0000 0.5000 x1
Cu: 0.6667 0.3333 0.0000 x1
N: 0.3333 0.6667 0.2364 x2